Entry 1:
A plane-wave DFT calculation with PBE+U was carried out for In2NiGeO6 after structural relaxation.

It has space group R3 (No. 146, hexagonal axes), with a = 5.3136 Å, b = 5.3136 Å, c = 13.9871 Å, α = 90.00°, β = 90.00° and γ = 120.00°. The inequivalent atoms are In at (0.0000, 0.0000, 0.0000), In at (0.0000, 0.0000, 0.4968), Ni at (0.0000, 0.0000, 0.2164), Ge at (0.0000, 0.0000, 0.7099), O at (0.0017, 0.3818, 0.4451) and O at (0.0618, 0.6940, 0.2848).

The energy is -5.711 eV/atom. Its magnetic moment is 5.9 Bohr magnetons per cell.

***

Entry 2:
A plane-wave DFT calculation with PBE+U was carried out for InNi2GeO6 after structural relaxation.

It has space group P1 (No. 1), with a = 5.076 Å, b = 5.113 Å, c = 5.472 Å, α = 62.38°, β = 89.73° and γ = 61.24°. The inequivalent atoms are In at (0.000, 0.000, 0.000), Ni at (0.283, 0.436, 0.850), Ni at (0.791, 0.414, 0.382), Ge at (0.484, 0.023, 0.460), O at (0.087, 0.490, 0.182), O at (0.214, 0.920, 0.657), O at (0.416, 0.924, 0.174), O at (0.580, 0.219, 0.646), O at (0.669, 0.246, 0.181) and O at (0.864, 0.562, 0.641).

The energy is -5.483 eV/atom. Its magnetic moment is 3.0 Bohr magnetons per cell.